No. 1
## Ta3Nb2Pd (GGA-PBE)

Data for an optimized crystal structure of Ta3Nb2Pd.

Cell: 3.3278 3.3278 9.6347 Å, 90.00 90.00 90.00°
With the nearest neighbours (Å) after each atom.
Space group P4/mmm (No. 123)
One atom of each set of equivalent atoms:
Ta  0.0000  0.0000  0.0000 (multiplicity 1)  8 Nb 2.88, 2 Ta 3.21
Ta  0.0000  0.0000  0.3332 (multiplicity 2)  4 Nb 2.82, 4 Pd 2.85
Nb  0.5000  0.5000  0.1716 (multiplicity 2)  8 Ta 2.82-2.88
Pd  0.5000  0.5000  0.5000 (multiplicity 1)  8 Ta 2.85, 2 Nb 3.16

Calculated values
For the energy above the most stable polymorph in this dataset, the calculation gives 0 meV/atom. The formation energy from the elements comes out at -97 meV/atom.

=====

No. 2
## Ta2Nb5Pd (GGA-PBE)

Data for an optimized crystal structure of Ta2Nb5Pd.

Cell: 6.5862 6.5862 6.5688 Å, 90.00 90.00 90.00°
With the nearest neighbours (Å) after each atom.
Space group I4/mmm (No. 139)
One atom of each set of equivalent atoms:
Ta  0.0000  0.5000  0.0000 (multiplicity 4)  8 Nb 2.85
Nb  0.0000  0.0000  0.0000 (multiplicity 2)  8 Nb 2.85
Nb  0.2500  0.2500  0.2500 (multiplicity 8)  4 Ta 2.85, 2 Nb 2.85, 2 Pd 2.85
Pd  0.0000  0.0000  0.5000 (multiplicity 2)  8 Nb 2.85

Calculated values
The formation energy from the elements comes out at -76 meV/atom.

=====

No. 3
## TaNbPd14 (GGA-PBE)

Data for an optimized crystal structure of TaNbPd14.

Cell: 5.6314 5.6314 7.8433 Å, 90.00 90.00 90.00°
With the nearest neighbours (Å) after each atom.
Space group P4/mmm (No. 123)
One atom of each set of equivalent atoms:
Ta  0.0000  0.0000  0.0000 (multiplicity 1)  12 Pd 2.75-2.82
Nb  0.5000  0.5000  0.0000 (multiplicity 1)  12 Pd 2.76-2.82
Pd  0.0000  0.0000  0.5000 (multiplicity 1)  12 Pd 2.82-2.83
Pd  0.0000  0.5000  0.0000 (multiplicity 2)  8 Pd 2.76, 2 Ta 2.82, 2 Nb 2.82
Pd  0.0000  0.5000  0.5000 (multiplicity 2)  12 Pd 2.82-2.83
Pd  0.2493  0.2493  0.2429 (multiplicity 8)  1 Ta 2.75, 10 Pd 2.76-2.84, 1 Nb 2.76
Pd  0.5000  0.5000  0.5000 (multiplicity 1)  12 Pd 2.82-2.84

Calculated values
The formation energy from the elements comes out at -282 meV/atom.

=====

No. 4
## Ta2NbPd (GGA-PBE)

Data for an optimized crystal structure of Ta2NbPd.

Cell: 3.3285 3.3285 6.3263 Å, 90.00 90.00 90.00°
With the nearest neighbours (Å) after each atom.
Space group P4/mmm (No. 123)
One atom of each set of equivalent atoms:
Ta  0.0000  0.0000  0.2444 (multiplicity 2)  4 Nb 2.82, 4 Pd 2.86, 1 Ta 3.09
Nb  0.5000  0.5000  0.0000 (multiplicity 1)  8 Ta 2.82
Pd  0.5000  0.5000  0.5000 (multiplicity 1)  8 Ta 2.86, 2 Nb 3.16

Calculated values
The formation energy from the elements comes out at -137 meV/atom.

=====

No. 5
## Ta2NbPd (GGA-PBE)

Data for an optimized crystal structure of Ta2NbPd.

Cell: 3.9094 3.9094 19.7298 Å, 90.00 90.00 90.00°
With the nearest neighbours (Å) after each atom.
Space group I-42d (No. 122)
One atom of each set of equivalent atoms:
Ta  0.2450  0.2500  0.1250 (multiplicity 8)  4 Ta 2.74-2.79, 2 Nb 2.82, 2 Pd 2.83
Nb  0.0000  0.0000  0.0000 (multiplicity 4)  4 Pd 2.76, 4 Ta 2.82
Pd  0.0000  0.0000  0.5000 (multiplicity 4)  4 Nb 2.76, 4 Ta 2.83

Calculated values
The formation energy from the elements comes out at 480 meV/atom.

=====

No. 6
## TaNb3Pd (GGA-PBE)

Data for an optimized crystal structure of TaNb3Pd.

Cell: 4.8020 4.8020 4.8020 Å, 90.00 90.00 90.00°
With the nearest neighbours (Å) after each atom.
Space group Pm-3m (No. 221)
One atom of each set of equivalent atoms:
Ta  0.0000  0.0000  0.0000 (multiplicity 1)  12 Nb 3.40
Nb  0.0000  0.5000  0.5000 (multiplicity 3)  2 Pd 2.40
Pd  0.5000  0.5000  0.5000 (multiplicity 1)  6 Nb 2.40

Calculated values
For the energy above the most stable polymorph in this dataset, the calculation gives 1071 meV/atom. The formation energy from the elements comes out at 1407 meV/atom.

=====

No. 7
## TaNb14Pd (GGA-PBE)

Data for an optimized crystal structure of TaNb14Pd.

Cell: 6.6155 9.5319 9.1623 Å, 90.00 90.00 90.00°
With the nearest neighbours (Å) after each atom.
Space group Cmmm (No. 65)
One atom of each set of equivalent atoms:
Ta  0.0000  0.0000  0.0000 (multiplicity 2)  8 Nb 2.82-2.90
Nb  0.0000  0.0000  0.5000 (multiplicity 2)  8 Nb 2.80-2.90
Nb  0.0000  0.2500  0.2465 (multiplicity 8)  8 Nb 2.80-2.92
Nb  0.0000  0.5000  0.5000 (multiplicity 2)  8 Nb 2.83-2.90
Nb  0.2463  0.0000  0.2511 (multiplicity 8)  6 Nb 2.80-2.92, 1 Ta 2.82, 1 Pd 2.85
Nb  0.2500  0.2500  0.0000 (multiplicity 4)  4 Nb 2.80, 2 Ta 2.90, 2 Pd 2.90
Nb  0.2500  0.2500  0.5000 (multiplicity 4)  8 Nb 2.85-2.90
Pd  0.0000  0.5000  0.0000 (multiplicity 2)  8 Nb 2.85-2.90

Calculated values
The formation energy from the elements comes out at -54 meV/atom.

=====

No. 8
## TaNb2Pd8 (GGA-PBE)

Data for an optimized crystal structure of TaNb2Pd8.

Cell: 14.3267 3.9873 6.4393 Å, 90.00 107.83 90.00°
With the nearest neighbours (Å) after each atom.
Space group C2/m (No. 12)
One atom of each set of equivalent atoms:
Ta  0.0000  0.0000  0.0000 (multiplicity 2)  12 Pd 2.78-2.83
Nb  0.2188  0.5000  0.6508 (multiplicity 4)  10 Pd 2.71-2.88
Pd  0.0422  0.5000  0.7359 (multiplicity 4)  1 Nb 2.75, 9 Pd 2.79-3.00, 2 Ta 2.80
Pd  0.0974  0.0000  0.4453 (multiplicity 4)  3 Nb 2.71-2.88, 7 Pd 2.78-3.00, 1 Ta 2.78
Pd  0.1405  0.5000  0.1888 (multiplicity 4)  7 Pd 2.78-2.85, 3 Nb 2.80-2.84, 2 Ta 2.83
Pd  0.1797  0.0000  0.9107 (multiplicity 4)  3 Nb 2.75-2.77, 8 Pd 2.79-2.86, 1 Ta 2.80

Calculated values
The formation energy from the elements comes out at -370 meV/atom.

=====

No. 9
## Ta5Nb6Pd (GGA-PBE)

Data for an optimized crystal structure of Ta5Nb6Pd.

Cell: 8.1098 13.8546 4.7176 Å, 90.00 125.39 90.00°
With the nearest neighbours (Å) after each atom.
Space group C2/m (No. 12)
One atom of each set of equivalent atoms:
Ta  0.0000  0.0000  0.0000 (multiplicity 2)  8 Nb 2.84-2.88
Ta  0.0000  0.1655  0.5000 (multiplicity 4)  8 Nb 2.82-2.88
Ta  0.0000  0.3326  0.0000 (multiplicity 4)  8 Nb 2.81-2.89
Nb  0.2475  0.0000  0.7477 (multiplicity 4)  6 Ta 2.82-2.88, 2 Pd 2.89
Nb  0.2480  0.1675  0.2478 (multiplicity 8)  7 Ta 2.81-2.89, 1 Pd 2.86
Pd  0.0000  0.5000  0.5000 (multiplicity 2)  8 Nb 2.86-2.89

Calculated values
The formation energy from the elements comes out at -62 meV/atom.

=====

No. 10
## Ta3NbPd (GGA-PBE)

Data for an optimized crystal structure of Ta3NbPd.

Cell: 4.8176 4.8176 4.8176 Å, 90.00 90.00 90.00°
With the nearest neighbours (Å) after each atom.
Space group Pm-3m (No. 221)
One atom of each set of equivalent atoms:
Ta  0.0000  0.0000  0.5000 (multiplicity 3)  2 Nb 2.41
Nb  0.0000  0.0000  0.0000 (multiplicity 1)  6 Ta 2.41
Pd  0.5000  0.5000  0.5000 (multiplicity 1)  12 Ta 3.41

Calculated values
For the energy above the most stable polymorph in this dataset, the calculation gives 1443 meV/atom. The formation energy from the elements comes out at 1670 meV/atom.

=====

No. 11
## Ta4Nb5Pd (GGA-PBE)

Data for an optimized crystal structure of Ta4Nb5Pd.

Cell: 3.3166 3.3166 16.3555 Å, 90.00 90.00 90.00°
With the nearest neighbours (Å) after each atom.
Space group P4/mmm (No. 123)
One atom of each set of equivalent atoms:
Ta  0.0000  0.0000  0.1002 (multiplicity 2)  8 Nb 2.86-2.90
Ta  0.0000  0.0000  0.3036 (multiplicity 2)  8 Nb 2.83-2.85
Nb  0.5000  0.5000  0.0000 (multiplicity 1)  8 Ta 2.86
Nb  0.5000  0.5000  0.2045 (multiplicity 2)  8 Ta 2.85-2.90
Nb  0.5000  0.5000  0.4007 (multiplicity 2)  4 Ta 2.83, 4 Pd 2.85
Pd  0.0000  0.0000  0.5000 (multiplicity 1)  8 Nb 2.85

Calculated values
For the energy above the most stable polymorph in this dataset, the calculation gives 0 meV/atom. The formation energy from the elements comes out at -61 meV/atom.

=====

No. 12
## Ta3Nb3Pd (GGA-PBE)

Data for an optimized crystal structure of Ta3Nb3Pd.

Cell: 7.2771 7.2771 17.9187 Å, 90.00 90.00 120.00°
With the nearest neighbours (Å) after each atom.
Space group R-3 (No. 148, hexagonal axes)
One atom of each set of equivalent atoms:
Ta  0.0043  0.7641  0.3782 (multiplicity 18)  1 Nb 2.59, 1 Ta 2.61, 1 Pd 2.87
Nb  0.0045  0.2647  0.1290 (multiplicity 18)  1 Nb 2.55, 1 Ta 2.59
Pd  0.0000  0.0000  0.2506 (multiplicity 6)  6 Nb 2.87-2.90, 6 Ta 2.87-2.90

Calculated values
The formation energy from the elements comes out at 343 meV/atom.

=====

No. 13
## TaNb2Pd (GGA-PBE)

Data for an optimized crystal structure of TaNb2Pd.

Cell: 2.8733 2.8733 29.7162 Å, 90.00 90.00 120.00°
With the nearest neighbours (Å) after each atom.
Space group R3m (No. 160, hexagonal axes)
One atom of each set of equivalent atoms:
Ta  0.0000  0.0000  0.0000 (multiplicity 3)  6 Ta 2.87, 6 Nb 3.09
Nb  0.0000  0.0000  0.5789 (multiplicity 3)  6 Nb 2.87, 3 Pd 2.88, 3 Ta 3.09
Nb  0.0000  0.0000  0.7544 (multiplicity 3)  3 Pd 2.87, 6 Nb 2.87, 3 Ta 3.09
Pd  0.0000  0.0000  0.1665 (multiplicity 3)  6 Nb 2.87-2.88, 6 Pd 2.87

Calculated values
For the energy above the most stable polymorph in this dataset, the calculation gives 167 meV/atom. The formation energy from the elements comes out at 33 meV/atom.

=====

No. 14
## Ta8Nb3Pd (GGA-PBE)

Data for an optimized crystal structure of Ta8Nb3Pd.

Cell: 5.4839 5.4839 8.5964 Å, 90.00 90.00 120.00°
With the nearest neighbours (Å) after each atom.
Space group P-3m1 (No. 164)
One atom of each set of equivalent atoms:
Ta  0.1712  0.3423  0.2485 (multiplicity 6)  4 Ta 2.67-2.82, 1 Pd 2.68, 1 Nb 2.71
Ta  0.3333  0.6667  0.9424 (multiplicity 2)  12 Ta 3.05-3.32, 3 Pd 3.20, 1 Nb 3.28
Nb  0.0000  0.0000  0.5000 (multiplicity 1)  6 Ta 2.71
Nb  0.3333  0.6667  0.5612 (multiplicity 2)  10 Ta 3.10-3.28, 6 Nb 3.21-3.34
Pd  0.0000  0.0000  0.0000 (multiplicity 1)  6 Ta 2.68

Calculated values
The formation energy from the elements comes out at 75 meV/atom.

=====

No. 15
## Ta2NbPd (GGA-PBE)

Data for an optimized crystal structure of Ta2NbPd.

Cell: 2.7943 4.6342 5.4527 Å, 90.00 99.20 90.00°
With the nearest neighbours (Å) after each atom.
Space group P2/m (No. 10)
One atom of each set of equivalent atoms:
Ta  0.2467  0.0000  0.2564 (multiplicity 2)  4 Ta 2.79-2.91, 2 Nb 2.81, 2 Pd 2.85
Nb  0.0000  0.5000  0.5000 (multiplicity 1)  2 Nb 2.79, 4 Ta 2.81, 2 Pd 2.86
Pd  0.5000  0.5000  0.0000 (multiplicity 1)  2 Pd 2.79, 4 Ta 2.85, 2 Nb 2.86

Calculated values
The formation energy from the elements comes out at -80 meV/atom.

=====

No. 16
## TaNb2Pd (GGA-PBE)

Data for an optimized crystal structure of TaNb2Pd.

Cell: 3.3301 3.3301 6.3346 Å, 90.00 90.00 90.00°
With the nearest neighbours (Å) after each atom.
Space group P4mm (No. 99)
One atom of each set of equivalent atoms:
Ta  0.0000  0.0000  0.0000 (multiplicity 1)  5 Nb 2.82-3.09, 4 Pd 2.84
Nb  0.0000  0.0000  0.5126 (multiplicity 1)  4 Nb 2.81, 4 Pd 2.88, 1 Ta 3.09
Nb  0.5000  0.5000  0.7547 (multiplicity 1)  4 Nb 2.81, 4 Ta 2.82, 1 Pd 3.14
Pd  0.5000  0.5000  0.2511 (multiplicity 1)  4 Ta 2.84, 5 Nb 2.88-3.14

Calculated values
For the energy above the most stable polymorph in this dataset, the calculation gives 0 meV/atom. The formation energy from the elements comes out at -135 meV/atom.

=====

No. 17
## Ta4Nb5Pd (GGA-PBE)

Data for an optimized crystal structure of Ta4Nb5Pd.

Cell: 4.6279 5.6037 7.6239 Å, 74.91 72.40 89.96°
With the nearest neighbours (Å) after each atom.
Space group P-1 (No. 2)
One atom of each set of equivalent atoms:
Ta  0.1018  0.3859  0.2959 (multiplicity 2)  6 Nb 2.76-2.95, 2 Pd 2.91
Ta  0.2923  0.8489  0.9156 (multiplicity 2)  8 Nb 2.78-2.96
Nb  0.0981  0.8907  0.3054 (multiplicity 2)  6 Ta 2.76-2.96, 2 Nb 2.86-2.87
Nb  0.3019  0.3602  0.8959 (multiplicity 2)  1 Pd 2.77, 7 Ta 2.78-2.95
Nb  0.5000  0.0000  0.5000 (multiplicity 1)  2 Pd 2.80, 4 Nb 2.86-2.87, 2 Ta 2.91
Pd  0.5000  0.5000  0.5000 (multiplicity 1)  4 Nb 2.77-2.80, 4 Ta 2.91

Calculated values
For the energy above the most stable polymorph in this dataset, the calculation gives 73 meV/atom. The formation energy from the elements comes out at 12 meV/atom.

=====

No. 18
## TaNbPd4 (GGA-PBE)

Data for an optimized crystal structure of TaNbPd4.

Cell: 2.8836 3.9143 8.4850 Å, 90.00 90.00 90.00°
With the nearest neighbours (Å) after each atom.
Space group Pmmm (No. 47)
One atom of each set of equivalent atoms:
Ta  0.0000  0.0000  0.0000 (multiplicity 1)  10 Pd 2.80-2.83, 2 Ta 2.88
Nb  0.5000  0.5000  0.5000 (multiplicity 1)  10 Pd 2.81-2.85, 2 Nb 2.88
Pd  0.0000  0.0000  0.3337 (multiplicity 2)  4 Nb 2.81, 7 Pd 2.82-2.88, 1 Ta 2.83
Pd  0.5000  0.5000  0.1643 (multiplicity 2)  7 Pd 2.79-2.88, 4 Ta 2.80, 1 Nb 2.85

Calculated values
For the energy above the most stable polymorph in this dataset, the calculation gives 0 meV/atom. The formation energy from the elements comes out at -437 meV/atom.

=====

No. 19
## TaNb2Pd6 (GGA-PBE)

Data for an optimized crystal structure of TaNb2Pd6.

Cell: 9.0319 3.9704 8.5365 Å, 90.00 108.83 90.00°
With the nearest neighbours (Å) after each atom.
Space group C2/m (No. 12)
One atom of each set of equivalent atoms:
Ta  0.0000  0.0000  0.0000 (multiplicity 2)  8 Pd 2.77-2.86, 4 Nb 2.89
Nb  0.1735  0.5000  0.2333 (multiplicity 4)  10 Pd 2.75-2.90, 2 Ta 2.89
Pd  0.0007  0.0000  0.3246 (multiplicity 4)  1 Ta 2.77, 3 Nb 2.79-2.80, 8 Pd 2.81-3.00
Pd  0.1661  0.5000  0.5574 (multiplicity 4)  3 Nb 2.75-2.79, 9 Pd 2.84-2.88
Pd  0.1656  0.5000  0.8944 (multiplicity 4)  5 Pd 2.78-2.88, 3 Ta 2.80-2.86, 4 Nb 2.87-2.90

Calculated values
The formation energy from the elements comes out at -327 meV/atom.

=====

No. 20
## TaNb2Pd (GGA-PBE)

Data for an optimized crystal structure of TaNb2Pd.

Cell: 6.5399 6.5399 6.5399 Å, 90.00 90.00 90.00°
With the nearest neighbours (Å) after each atom.
Space group Fm-3m (No. 225)
One atom of each set of equivalent atoms:
Ta  0.0000  0.0000  0.0000 (multiplicity 4)  8 Nb 2.83
Nb  0.2500  0.2500  0.2500 (multiplicity 8)  4 Ta 2.83, 4 Pd 2.83
Pd  0.0000  0.0000  0.5000 (multiplicity 4)  8 Nb 2.83

Calculated values
For the energy above the most stable polymorph in this dataset, the calculation gives 96 meV/atom. The formation energy from the elements comes out at -38 meV/atom.